--- a ---
A plane-wave DFT calculation with PBE was carried out for a geometry-optimized AlOsAu structure.

a = 5.880 Å, b = 5.880 Å, c = 5.880 Å
α = 90.00°, β = 90.00°, γ = 90.00°
Sites, in units of the cell vectors:
Al (0.000, 0.000, 0.000)
Al (0.000, 0.500, 0.500)
Al (0.500, 0.000, 0.500)
Al (0.500, 0.500, 0.000)
Os (0.250, 0.250, 0.250)
Os (0.250, 0.750, 0.750)
Os (0.750, 0.250, 0.750)
Os (0.750, 0.750, 0.250)
Au (0.250, 0.250, 0.750)
Au (0.250, 0.750, 0.250)
Au (0.750, 0.250, 0.250)
Au (0.750, 0.750, 0.750)

Computed properties:
Spin magnetization = 0.00 μB per cell

--- b ---
A plane-wave DFT calculation with PBE was carried out for a geometry-optimized AlOsAu structure.

a = 2.873 Å, b = 2.873 Å, c = 6.527 Å
α = 90.00°, β = 90.00°, γ = 120.00°
Sites, in units of the cell vectors:
Al (0.000, 0.000, 0.000)
Os (0.333, 0.667, 0.705)
Au (0.667, 0.333, 0.331)

Computed properties:
Spin magnetization = 0.00 μB per cell

b has the most favorable energy; the next structure is 212 meV/atom above.

--- a ---
A plane-wave DFT calculation with PBE was carried out for a geometry-optimized AlOsAu structure.

a = 3.011 Å, b = 3.011 Å, c = 10.195 Å
α = 90.00°, β = 90.00°, γ = 90.00°
Sites, in units of the cell vectors:
Al (0.000, 0.000, 0.000)
Al (0.500, 0.500, 0.500)
Os (0.000, 0.000, 0.362)
Os (0.500, 0.500, 0.862)
Au (0.000, 0.000, 0.669)
Au (0.500, 0.500, 0.169)

Computed properties:
Spin magnetization = 0.00 μB per cell

--- b ---
A plane-wave DFT calculation with PBE was carried out for a geometry-optimized AlOsAu structure.

a = 2.819 Å, b = 2.819 Å, c = 11.756 Å
α = 90.00°, β = 90.00°, γ = 90.00°
Sites, in units of the cell vectors:
Al (0.250, 0.250, 0.228)
Al (0.750, 0.750, 0.772)
Os (0.250, 0.250, 0.926)
Os (0.750, 0.750, 0.074)
Au (0.250, 0.250, 0.607)
Au (0.750, 0.750, 0.393)

Computed properties:
Spin magnetization = 0.00 μB per cell

--- c ---
A plane-wave DFT calculation with PBE was carried out for a geometry-optimized AlOsAu structure.

a = 3.095 Å, b = 4.681 Å, c = 13.019 Å
α = 90.00°, β = 90.00°, γ = 90.00°
Sites, in units of the cell vectors:
Al (0.000, 0.000, 0.000)
Al (0.000, 0.500, 0.500)
Al (0.500, 0.000, 0.500)
Al (0.500, 0.500, 0.000)
Os (0.000, 0.000, 0.645)
Os (0.000, 0.500, 0.145)
Os (0.500, 0.000, 0.145)
Os (0.500, 0.500, 0.645)
Au (0.000, 0.000, 0.335)
Au (0.000, 0.500, 0.835)
Au (0.500, 0.000, 0.835)
Au (0.500, 0.500, 0.335)

Computed properties:
Spin magnetization = 0.00 μB per cell

b has the most favorable energy; the next structure is 329 meV/atom above.

--- a ---
A plane-wave DFT calculation with PBE was carried out for a geometry-optimized AlPAu2 structure.

a = 3.251 Å, b = 3.251 Å, c = 22.837 Å
α = 90.00°, β = 90.00°, γ = 120.00°
Sites, in units of the cell vectors:
Al (0.000, 0.000, 0.000)
Al (0.333, 0.667, 0.667)
Al (0.667, 0.333, 0.333)
P (0.000, 0.000, 0.500)
P (0.333, 0.667, 0.167)
P (0.667, 0.333, 0.833)
Au (0.000, 0.000, 0.250)
Au (0.000, 0.000, 0.750)
Au (0.333, 0.667, 0.417)
Au (0.333, 0.667, 0.916)
Au (0.667, 0.333, 0.084)
Au (0.667, 0.333, 0.583)

Computed properties:
Spin magnetization = 0.00 μB per cell

--- b ---
A plane-wave DFT calculation with PBE was carried out for a geometry-optimized AlPAu2 structure.

a = 4.398 Å, b = 4.398 Å, c = 15.879 Å
α = 90.00°, β = 90.00°, γ = 90.00°
Sites, in units of the cell vectors:
Al (0.000, 0.000, 0.000)
Al (0.000, 0.500, 0.250)
Al (0.500, 0.000, 0.750)
Al (0.500, 0.500, 0.500)
P (0.000, 0.000, 0.500)
P (0.000, 0.500, 0.750)
P (0.500, 0.000, 0.250)
P (0.500, 0.500, 0.000)
Au (0.233, 0.250, 0.625)
Au (0.250, 0.733, 0.875)
Au (0.250, 0.767, 0.375)
Au (0.267, 0.250, 0.125)
Au (0.733, 0.750, 0.125)
Au (0.750, 0.233, 0.375)
Au (0.750, 0.267, 0.875)
Au (0.767, 0.750, 0.625)

Computed properties:
Spin magnetization = 0.00 μB per cell

b has the most favorable energy; the next structure is 29 meV/atom above.

--- a ---
A plane-wave DFT calculation with PBE was carried out for a geometry-optimized AlPAu2 structure.

a = 5.540 Å, b = 9.285 Å, c = 3.904 Å
α = 90.00°, β = 134.60°, γ = 90.00°
Sites, in units of the cell vectors:
Al (0.000, 0.000, 0.000)
Al (0.500, 0.500, 0.000)
P (0.000, 0.500, 0.000)
P (0.500, 0.000, 0.000)
Au (0.250, 0.250, 0.500)
Au (0.250, 0.750, 0.500)
Au (0.750, 0.250, 0.500)
Au (0.750, 0.750, 0.500)

Computed properties:
Spin magnetization = 0.00 μB per cell

--- b ---
A plane-wave DFT calculation with PBE was carried out for a geometry-optimized AlPAu2 structure.

a = 2.959 Å, b = 2.959 Å, c = 7.668 Å
α = 90.00°, β = 90.00°, γ = 90.00°
Sites, in units of the cell vectors:
Al (0.000, 0.000, 0.000)
P (0.500, 0.500, 0.790)
Au (0.000, 0.000, 0.520)
Au (0.500, 0.500, 0.232)

Computed properties:
Spin magnetization = 0.00 μB per cell

a has the most favorable energy; the next structure is 82 meV/atom above.

--- a ---
A plane-wave DFT calculation with PBE was carried out for a geometry-optimized AlPAu2 structure.

a = 2.782 Å, b = 5.694 Å, c = 9.076 Å
α = 90.00°, β = 90.00°, γ = 90.00°
Sites, in units of the cell vectors:
Al (0.000, 0.000, 0.000)
Al (0.500, 0.500, 0.500)
P (0.000, 0.000, 0.500)
P (0.500, 0.500, 0.000)
Au (0.000, 0.500, 0.258)
Au (0.000, 0.500, 0.742)
Au (0.500, 0.000, 0.242)
Au (0.500, 0.000, 0.758)

Computed properties:
Spin magnetization = 0.00 μB per cell

--- b ---
A plane-wave DFT calculation with PBE was carried out for a geometry-optimized AlPAu2 structure.

a = 6.520 Å, b = 6.520 Å, c = 6.520 Å
α = 90.00°, β = 90.00°, γ = 90.00°
Sites, in units of the cell vectors:
Al (0.000, 0.000, 0.000)
Al (0.000, 0.500, 0.500)
Al (0.500, 0.000, 0.500)
Al (0.500, 0.500, 0.000)
P (0.250, 0.250, 0.250)
P (0.250, 0.750, 0.750)
P (0.750, 0.250, 0.750)
P (0.750, 0.750, 0.250)
Au (0.000, 0.000, 0.500)
Au (0.000, 0.500, 0.000)
Au (0.250, 0.250, 0.750)
Au (0.250, 0.750, 0.250)
Au (0.500, 0.000, 0.000)
Au (0.500, 0.500, 0.500)
Au (0.750, 0.250, 0.250)
Au (0.750, 0.750, 0.750)

Computed properties:
Spin magnetization = 0.00 μB per cell

--- c ---
A plane-wave DFT calculation with PBE was carried out for a geometry-optimized AlPAu2 structure.

a = 12.497 Å, b = 3.293 Å, c = 3.723 Å
α = 90.00°, β = 92.44°, γ = 90.00°
Sites, in units of the cell vectors:
Al (0.000, 0.000, 0.000)
Al (0.500, 0.500, 0.000)
P (0.309, 0.500, 0.983)
P (0.809, 0.000, 0.983)
Au (0.072, 0.500, 0.511)
Au (0.279, 0.000, 0.477)
Au (0.572, 0.000, 0.511)
Au (0.779, 0.500, 0.477)

Computed properties:
Spin magnetization = 0.00 μB per cell

c has the most favorable energy; the next structure is 143 meV/atom above.

--- a ---
A plane-wave DFT calculation with PBE was carried out for a geometry-optimized AlPAu2 structure.

a = 3.666 Å, b = 4.621 Å, c = 8.121 Å
α = 90.00°, β = 90.00°, γ = 90.00°
Sites, in units of the cell vectors:
Al (0.000, 0.000, 0.000)
Al (0.500, 0.500, 0.500)
P (0.000, 0.500, 0.703)
P (0.500, 0.000, 0.203)
Au (0.000, 0.000, 0.482)
Au (0.000, 0.500, 0.261)
Au (0.500, 0.000, 0.761)
Au (0.500, 0.500, 0.982)

Computed properties:
Spin magnetization = 0.00 μB per cell

--- b ---
A plane-wave DFT calculation with PBE was carried out for a geometry-optimized AlPAu2 structure.

a = 2.969 Å, b = 2.969 Å, c = 7.658 Å
α = 90.00°, β = 90.00°, γ = 90.00°
Sites, in units of the cell vectors:
Al (0.000, 0.000, 0.000)
P (0.000, 0.000, 0.500)
Au (0.500, 0.500, 0.229)
Au (0.500, 0.500, 0.771)

Computed properties:
Spin magnetization = 0.00 μB per cell

a has the most favorable energy; the next structure is 27 meV/atom above.

--- a ---
A plane-wave DFT calculation with PBE was carried out for a geometry-optimized AlPAu2 structure.

a = 3.611 Å, b = 3.611 Å, c = 5.257 Å
α = 90.00°, β = 90.00°, γ = 90.00°
Sites, in units of the cell vectors:
Al (0.000, 0.000, 0.000)
P (0.500, 0.500, 0.755)
Au (0.000, 0.000, 0.511)
Au (0.500, 0.500, 0.230)

Computed properties:
Spin magnetization = 0.00 μB per cell

--- b ---
A plane-wave DFT calculation with PBE was carried out for a geometry-optimized AlPAu2 structure.

a = 3.512 Å, b = 3.512 Å, c = 20.277 Å
α = 90.00°, β = 90.00°, γ = 120.00°
Sites, in units of the cell vectors:
Al (0.000, 0.000, 0.000)
Al (0.333, 0.667, 0.667)
Al (0.667, 0.333, 0.333)
P (0.000, 0.000, 0.742)
P (0.333, 0.667, 0.409)
P (0.667, 0.333, 0.075)
Au (0.000, 0.000, 0.251)
Au (0.000, 0.000, 0.485)
Au (0.333, 0.667, 0.151)
Au (0.333, 0.667, 0.918)
Au (0.667, 0.333, 0.585)
Au (0.667, 0.333, 0.818)

Computed properties:
Spin magnetization = 0.00 μB per cell

b has the most favorable energy; the next structure is 93 meV/atom above.

--- a ---
A plane-wave DFT calculation with PBE was carried out for a geometry-optimized AlPAu2 structure.

a = 5.568 Å, b = 5.583 Å, c = 4.578 Å
α = 90.00°, β = 90.00°, γ = 90.00°
Sites, in units of the cell vectors:
Al (0.000, 0.000, 0.000)
Al (0.500, 0.500, 0.000)
P (0.000, 0.500, 0.000)
P (0.500, 0.000, 0.000)
Au (0.000, 0.248, 0.500)
Au (0.000, 0.752, 0.500)
Au (0.500, 0.252, 0.500)
Au (0.500, 0.748, 0.500)

Computed properties:
Spin magnetization = 0.00 μB per cell

--- b ---
A plane-wave DFT calculation with PBE was carried out for a geometry-optimized AlPAu2 structure.

a = 3.559 Å, b = 3.559 Å, c = 5.410 Å
α = 90.00°, β = 90.00°, γ = 90.00°
Sites, in units of the cell vectors:
Al (0.000, 0.000, 0.000)
P (0.000, 0.000, 0.500)
Au (0.500, 0.500, 0.247)
Au (0.500, 0.500, 0.753)

Computed properties:
Spin magnetization = 0.00 μB per cell

a has the most favorable energy; the next structure is 90 meV/atom above.

--- a ---
A plane-wave DFT calculation with PBE was carried out for a geometry-optimized AlPAu structure.

a = 6.114 Å, b = 6.114 Å, c = 6.114 Å
α = 90.00°, β = 90.00°, γ = 90.00°
Sites, in units of the cell vectors:
Al (0.000, 0.000, 0.000)
Al (0.000, 0.500, 0.500)
Al (0.500, 0.000, 0.500)
Al (0.500, 0.500, 0.000)
P (0.000, 0.000, 0.500)
P (0.000, 0.500, 0.000)
P (0.500, 0.000, 0.000)
P (0.500, 0.500, 0.500)
Au (0.250, 0.250, 0.750)
Au (0.250, 0.750, 0.250)
Au (0.750, 0.250, 0.250)
Au (0.750, 0.750, 0.750)

Computed properties:
Spin magnetization = 0.00 μB per cell

--- b ---
A plane-wave DFT calculation with PBE was carried out for a geometry-optimized AlPAu structure.

a = 3.745 Å, b = 3.745 Å, c = 4.408 Å
α = 90.00°, β = 90.00°, γ = 120.00°
Sites, in units of the cell vectors:
Al (0.000, 0.000, 0.000)
P (0.667, 0.333, 0.748)
Au (0.333, 0.667, 0.373)

Computed properties:
Spin magnetization = 0.00 μB per cell

--- c ---
A plane-wave DFT calculation with PBE was carried out for a geometry-optimized AlPAu structure.

a = 6.046 Å, b = 6.046 Å, c = 6.046 Å
α = 90.00°, β = 90.00°, γ = 90.00°
Sites, in units of the cell vectors:
Al (0.000, 0.000, 0.000)
Al (0.000, 0.500, 0.500)
Al (0.500, 0.000, 0.500)
Al (0.500, 0.500, 0.000)
P (0.250, 0.250, 0.750)
P (0.250, 0.750, 0.250)
P (0.750, 0.250, 0.250)
P (0.750, 0.750, 0.750)
Au (0.250, 0.250, 0.250)
Au (0.250, 0.750, 0.750)
Au (0.750, 0.250, 0.750)
Au (0.750, 0.750, 0.250)

Computed properties:
Spin magnetization = 0.00 μB per cell

--- d ---
A plane-wave DFT calculation with PBE was carried out for a geometry-optimized AlPAu structure.

a = 2.741 Å, b = 3.371 Å, c = 10.959 Å
α = 90.00°, β = 90.00°, γ = 90.00°
Sites, in units of the cell vectors:
Al (0.000, 0.000, 0.000)
Al (0.500, 0.500, 0.500)
P (0.000, 0.000, 0.635)
P (0.500, 0.500, 0.135)
Au (0.000, 0.000, 0.340)
Au (0.500, 0.500, 0.840)

Computed properties:
Spin magnetization = 0.00 μB per cell

b has the most favorable energy; the next structure is 71 meV/atom above.

--- a ---
A plane-wave DFT calculation with PBE was carried out for a geometry-optimized Al3PAu structure.

a = 4.656 Å, b = 4.656 Å, c = 4.656 Å
α = 90.00°, β = 90.00°, γ = 90.00°
Sites, in units of the cell vectors:
Al (0.000, 0.000, 0.500)
Al (0.000, 0.500, 0.000)
Al (0.500, 0.000, 0.000)
P (0.000, 0.000, 0.000)
Au (0.500, 0.500, 0.500)

Computed properties:
Spin magnetization = 0.00 μB per cell

--- b ---
A plane-wave DFT calculation with PBE was carried out for a geometry-optimized Al3PAu structure.

a = 4.801 Å, b = 4.801 Å, c = 4.801 Å
α = 90.00°, β = 90.00°, γ = 90.00°
Sites, in units of the cell vectors:
Al (0.000, 0.000, 0.500)
Al (0.000, 0.500, 0.000)
Al (0.500, 0.000, 0.000)
P (0.500, 0.500, 0.500)
Au (0.000, 0.000, 0.000)

Computed properties:
Spin magnetization = 0.00 μB per cell

a has the most favorable energy; the next structure is 31 meV/atom above.

--- a ---
A plane-wave DFT calculation with PBE was carried out for a geometry-optimized AlPAuS2 structure.

a = 4.891 Å, b = 4.891 Å, c = 4.809 Å
α = 90.00°, β = 90.00°, γ = 90.00°
Sites, in units of the cell vectors:
Al (0.000, 0.000, 0.000)
P (0.500, 0.500, 0.000)
Au (0.000, 0.000, 0.500)
S (0.000, 0.500, 0.500)
S (0.500, 0.000, 0.500)

Computed properties:
Spin magnetization = 0.00 μB per cell

--- b ---
A plane-wave DFT calculation with PBE was carried out for a geometry-optimized AlPAuS2 structure.

a = 4.560 Å, b = 4.560 Å, c = 4.730 Å
α = 90.00°, β = 90.00°, γ = 90.00°
Sites, in units of the cell vectors:
Al (0.000, 0.000, 0.000)
P (0.000, 0.000, 0.500)
Au (0.500, 0.500, 0.500)
S (0.000, 0.500, 0.000)
S (0.500, 0.000, 0.000)

Computed properties:
Spin magnetization = 0.00 μB per cell

b has the most favorable energy; the next structure is 447 meV/atom above.

--- a ---
A plane-wave DFT calculation with PBE was carried out for a geometry-optimized Pa2AlAu structure.

a = 3.038 Å, b = 3.038 Å, c = 34.025 Å
α = 90.00°, β = 90.00°, γ = 120.00°
Sites, in units of the cell vectors:
Pa (0.000, 0.000, 0.090)
Pa (0.000, 0.000, 0.910)
Pa (0.333, 0.667, 0.577)
Pa (0.333, 0.667, 0.757)
Pa (0.667, 0.333, 0.243)
Pa (0.667, 0.333, 0.423)
Al (0.000, 0.000, 0.500)
Al (0.333, 0.667, 0.167)
Al (0.667, 0.333, 0.833)
Au (0.000, 0.000, 0.000)
Au (0.333, 0.667, 0.667)
Au (0.667, 0.333, 0.333)

Computed properties:
Spin magnetization = 2.92 μB per cell

--- b ---
A plane-wave DFT calculation with PBE was carried out for a geometry-optimized Pa2AlAu structure.

a = 3.149 Å, b = 3.149 Å, c = 8.827 Å
α = 90.00°, β = 90.00°, γ = 90.00°
Sites, in units of the cell vectors:
Pa (0.000, 0.000, 0.247)
Pa (0.000, 0.000, 0.753)
Al (0.500, 0.500, 0.000)
Au (0.500, 0.500, 0.500)

Computed properties:
Spin magnetization = 0.07 μB per cell

b has the most favorable energy; the next structure is 392 meV/atom above.